Compound: SrAl2GaAu5
Source: Alexandria
Functional: GGA-PBE
Structure: optimized geometry

The value obtained for the formation energy is -0.34 eV/atom.

The structure belongs to space group Immm (No. 71); the cell edges are 4.825, 6.064 and 13.622 Å and the angles 90.00°, 90.00° and 90.00°. The distinct sites, in fractional coordinates, are Sr at (0.000, 0.000, 0.000), Al at (0.000, 0.500, 0.187), Ga at (0.000, 0.000, 0.500), Au at (0.000, 0.247, 0.334) and Au at (0.000, 0.500, 0.000).

Compound: Ce3Nd4SmN8
Source: Alexandria
Functional: GGA-PBE
Structure: optimized geometry

For the uncorrected formation energy, the calculation gives -1.4517 eV per atom.

The structure belongs to space group R-3m (No. 166, hexagonal axes); the cell edges are 7.2109, 7.2109 and 17.6674 Å and the angles 90.00°, 90.00° and 120.00°. The distinct sites, in fractional coordinates, are Ce at (0.0000, 0.5000, 0.0000), Nd at (0.0000, 0.0000, 0.5000), Nd at (0.0000, 0.5000, 0.5000), Sm at (0.0000, 0.0000, 0.0000), N at (0.0000, 0.0000, 0.2551) and N at (0.0057, 0.5029, 0.2546).